Entry from the Alexandria database: a geometry-optimized LiTmCdHg structure (PBE).

Lattice parameters (Å, degrees): 4.9830 4.9830 4.9830 60.00 60.00 60.00
With the nearest neighbours (Å) after each atom.
Atoms (fractional coordinates):
Tm1 0.5000 0.5000 0.5000  4 Cd 3.05, 4 Hg 3.05
Li1 0.0000 0.0000 0.0000  4 Hg 3.05, 4 Cd 3.05
Hg1 0.2500 0.2500 0.2500  4 Tm 3.05, 4 Li 3.05
Cd1 0.7500 0.7500 0.7500  4 Li 3.05, 4 Tm 3.05

- VASP energy: -2.238 eV per atom
- Density of states at the Fermi level: 1.87 states/eV/cell